1.
This record from the Alexandria database describes a geometry-optimized NbSbO2F structure. The functional is GGA-PBE.

abc: 4.3008 4.3008 4.2914
angles: 90.00 90.00 90.00
Atoms (fractional coordinates):
Sb 0.0000 0.0000 0.0000
Nb 0.5000 0.5000 0.5000
O 0.0000 0.5000 0.0000
O 0.5000 0.0000 0.0000
F 0.0000 0.0000 0.5000

## Properties
Crystal system ... tetragonal
Formation energy (no corrections) ... -448 meV per atom
VASP energy ... -5.644 eV per atom
Space-group type ... P4/mmm

---

2.
This record from the Alexandria database describes a geometry-optimized NbSbO2F structure. The functional is GGA-PBE.

abc: 4.0629 4.0629 4.4077
angles: 90.00 90.00 90.00
Atoms (fractional coordinates):
Sb 0.5000 0.5000 0.5000
Nb 0.0000 0.0000 0.0000
O 0.0000 0.5000 0.0000
O 0.5000 0.0000 0.0000
F 0.0000 0.0000 0.5000

## Properties
Crystal system ... tetragonal
Formation energy (no corrections) ... -1425 meV per atom
VASP energy ... -6.621 eV per atom
Space-group type ... P4/mmm

---

3.
This record from the Alexandria database describes a geometry-optimized Sc2NbOF structure. The functional is GGA-PBE.

abc: 5.2748 3.9754 5.2748
angles: 90.00 90.00 90.00
Atoms (fractional coordinates):
Sc 0.0000 0.0000 0.5000
Sc 0.5000 0.0000 0.0000
Nb 0.0000 0.0000 0.0000
O 0.0000 0.5000 0.0000
F 0.5000 0.5000 0.5000

## Properties
Crystal system ... tetragonal
Formation energy (no corrections) ... -473 meV per atom
VASP energy ... -6.385 eV per atom
Space-group type ... P4/mmm

---

4.
This record from the Alexandria database describes a geometry-optimized NbSeOF2 structure. The functional is GGA-PBE.

abc: 4.6627 4.6627 3.7669
angles: 90.00 90.00 90.00
Atoms (fractional coordinates):
Nb 0.5000 0.5000 0.5000
O 0.0000 0.0000 0.5000
Se 0.0000 0.0000 0.0000
F 0.0000 0.5000 0.0000
F 0.5000 0.0000 0.0000

## Properties
Crystal system ... tetragonal
Formation energy (no corrections) ... -60 meV per atom
VASP energy ... -4.511 eV per atom
Space-group type ... P4/mmm

---

5.
This record from the Alexandria database describes a geometry-optimized NbSeOF2 structure. The functional is GGA-PBE.

abc: 4.3342 4.3342 3.9512
angles: 90.00 90.00 90.00
Atoms (fractional coordinates):
Nb 0.0000 0.0000 0.0000
O 0.0000 0.0000 0.5000
Se 0.5000 0.5000 0.5000
F 0.0000 0.5000 0.0000
F 0.5000 0.0000 0.0000

## Properties
Crystal system ... tetragonal
Formation energy (no corrections) ... -1489 meV per atom
VASP energy ... -5.940 eV per atom
Space-group type ... P4/mmm

---

6.
This record from the Alexandria database describes a geometry-optimized NbSiO2F structure. The functional is GGA-PBE.

abc: 4.0219 4.0219 4.2801
angles: 90.00 90.00 90.00
Atoms (fractional coordinates):
Nb 0.0000 0.0000 0.0000
Si 0.5000 0.5000 0.5000
O 0.0000 0.5000 0.0000
O 0.5000 0.0000 0.0000
F 0.0000 0.0000 0.5000

## Properties
Crystal system ... tetragonal
Formation energy (no corrections) ... -1333 meV per atom
VASP energy ... -6.789 eV per atom
Space-group type ... P4/mmm

---

Among the records above, which one has the lowest formation energy (no corrections)?
number 5

---

Which of these has the highest VASP energy?
number 4

---

Which of these has the highest formation energy (no corrections)?
number 4